DFT (GGA-PBE) results for crystalline La3TaBr at its relaxed geometry.

```
La3TaBr
1.0
-3.373 3.271 3.284
-4.473 -3.362 -1.245
1.216 -3.295 4.531
Ta La Br
1 3 1
Cartesian
0.000 0.000 0.000
-1.686 1.635 1.642
-2.236 -1.681 -0.622
0.608 -1.647 2.265
-3.315 -1.693 3.285
```

The energy relative to the lowest polymorph listed for this composition comes out at 0 meV/atom. The volume comes out at 188.36 Å³ per cell. Its space-group type is No. 221. The total energy comes out at -5.48 eV/atom. For the uncorrected formation energy, the calculation gives 0.179 eV per atom.

---

DFT (GGA-PBE) results for crystalline SrSc2Zn9 at its relaxed geometry.

```
SrSc2Zn9
1.0
-2.086 -4.945 0.794
0.712 -3.876 -3.729
6.660 -5.327 2.862
Zn Sr Sc
9 1 2
Cartesian
6.148 -8.249 1.854
5.195 -6.617 -0.024
0.091 -7.531 -0.049
1.531 -6.980 -2.377
2.643 -7.074 -0.037
3.755 -7.167 2.304
4.122 -9.162 0.384
1.165 -4.986 -0.458
-0.862 -5.899 -1.927
0.000 0.000 0.000
3.523 -4.275 1.169
1.763 -9.872 -1.243
```

The volume comes out at 214.98 Å³ per cell. Its space-group type is No. 166. The total energy comes out at -2.42 eV/atom.

---

DFT (GGA-PBE) results for crystalline TiAg2 at its relaxed geometry.

```
TiAg2
1.0
2.896 0.000 0.000
0.000 2.896 0.000
0.000 0.000 12.616
Ag Ti
4 2
Cartesian
0.000 1.448 5.244
1.448 0.000 3.092
0.000 1.448 9.525
1.448 0.000 7.372
0.000 1.448 0.945
1.448 0.000 11.672
```

The volume comes out at 105.84 Å³ per cell. Its space-group type is No. 129. The total energy comes out at -4.55 eV/atom.